1.
The following is a DFT calculation (PBE-GGA) of an optimized crystal structure of KZnMo.

- energy of formation from the pure elements (eV/atom) = 1.92
- space group = No. 216
- distance to the lowest polymorph of the same formula (eV/f.u.) = 3.295
- crystal system = cubic

abc: 5.4434 5.4434 5.4434
angles: 60.00 60.00 60.00
Last column: nearest neighbours and their distance in Å.
Atoms (fractional coordinates):
K: 0.2500 0.2500 0.2500  4 Zn 3.33, 4 Mo 3.33
Mo: 0.0000 0.0000 0.0000  4 K 3.33
Zn: 0.5000 0.5000 0.5000  4 K 3.33

---

2.
The following is a DFT calculation (PBE-GGA) of an optimized crystal structure of MgNiPd5.

- energy of formation from the pure elements (eV/atom) = 0.24
- space group = No. 44
- crystal system = orthorhombic

abc: 7.0370 6.8810 5.5518
angles: 128.30 129.33 90.00
Last column: nearest neighbours and their distance in Å.
Atoms (fractional coordinates):
Mg: 0.8360 0.5000 0.0000  3 Pd 2.42-2.54
Ni: 0.6951 0.0000 0.0000  6 Pd 2.54-2.65
Pd: 0.2698 0.2425 0.4850  5 Pd 2.49-2.78, 1 Mg 2.54, 1 Ni 2.65
Pd: 0.1805 0.5000 0.0000  1 Mg 2.42, 2 Ni 2.57, 2 Pd 2.59
Pd: 0.7847 0.7575 0.5150  5 Pd 2.49-2.78, 1 Mg 2.54, 1 Ni 2.65
Pd: 0.3823 0.8149 0.0000  1 Ni 2.54, 4 Pd 2.55-2.74
Pd: 0.3823 0.1851 0.0000  1 Ni 2.54, 4 Pd 2.55-2.74

---

3.
The following is a DFT calculation (PBE-GGA) of an optimized crystal structure of FeReAs3.

- energy of formation from the pure elements (eV/atom) = 1.13
- space group = No. 221
- distance to the lowest polymorph of the same formula (eV/f.u.) = 0.000
- crystal system = cubic

abc: 4.4592 4.4592 4.4592
angles: 90.00 90.00 90.00
Last column: nearest neighbours and their distance in Å.
Atoms (fractional coordinates):
Re: 0.5000 0.5000 0.5000  12 As 3.15
As: 0.0000 0.5000 0.0000  2 Fe 2.23
As: 0.0000 0.0000 0.5000  2 Fe 2.23
As: 0.5000 0.0000 0.0000  2 Fe 2.23
Fe: 0.0000 0.0000 0.0000  6 As 2.23

---

4.
The following is a DFT calculation (PBE-GGA) of an optimized crystal structure of HoInPd2.

- energy of formation from the pure elements (eV/atom) = -0.73
- space group = No. 123
- crystal system = tetragonal

abc: 3.4639 3.4639 6.5579
angles: 90.00 90.00 90.00
Last column: nearest neighbours and their distance in Å.
Atoms (fractional coordinates):
Ho: 0.5000 0.5000 0.5000  8 Pd 3.00, 2 In 3.28
Pd: 0.0000 0.0000 0.7628  4 In 2.90, 4 Ho 3.00, 1 Pd 3.11
Pd: 0.0000 0.0000 0.2372  4 In 2.90, 4 Ho 3.00, 1 Pd 3.11
In: 0.5000 0.5000 0.0000  8 Pd 2.90

---

5.
The following is a DFT calculation (PBE-GGA) of an optimized crystal structure of Sc2ZnBr2.

- energy relative to the elements, uncorrected (eV/atom) = -0.45
- space group = No. 127
- distance to the lowest polymorph of the same formula (eV/f.u.) = 0.024
- crystal system = tetragonal

abc: 7.7798 7.7798 3.5383
angles: 90.00 90.00 90.00
Last column: nearest neighbours and their distance in Å.
Atoms (fractional coordinates):
Sc: 0.3441 0.8441 0.0000  6 Br 2.87-2.90, 2 Zn 2.94
Sc: 0.8441 0.6559 0.0000  6 Br 2.87-2.90, 2 Zn 2.94
Sc: 0.6559 0.1559 0.0000  6 Br 2.87-2.90, 2 Zn 2.94
Sc: 0.1559 0.3441 0.0000  6 Br 2.87-2.90, 2 Zn 2.94
Zn: 0.0000 0.0000 0.0000  4 Sc 2.94
Zn: 0.5000 0.5000 0.0000  4 Sc 2.94
Br: 0.1389 0.6389 0.5000  6 Sc 2.87-2.90, 1 Br 3.06
Br: 0.6389 0.8611 0.5000  6 Sc 2.87-2.90, 1 Br 3.06
Br: 0.8611 0.3611 0.5000  6 Sc 2.87-2.90, 1 Br 3.06
Br: 0.3611 0.1389 0.5000  6 Sc 2.87-2.90, 1 Br 3.06

---

6.
The following is a DFT calculation (PBE-GGA) of an optimized crystal structure of TbInI4.

- energy relative to the elements, uncorrected (eV/atom) = -1.08
- space group = No. 2
- crystal system = triclinic

abc: 4.5124 7.9014 8.6873
angles: 100.40 90.00 106.71
Last column: nearest neighbours and their distance in Å.
Atoms (fractional coordinates):
Tb: 0.0000 0.0000 0.9999  6 I 3.00-3.11
In: 0.5000 0.0000 0.5001  6 I 3.45-3.55
I: 0.8797 0.7611 0.6820  1 Tb 3.00
I: 0.1202 0.2387 0.3180  1 Tb 3.00
I: 0.3829 0.7673 0.1057  2 Tb 3.11
I: 0.6172 0.2328 0.8942  2 Tb 3.11

---

7.
The following is a DFT calculation (PBE-GGA) of an optimized crystal structure of Pr2Nd7Pd2.

- energy of formation from the pure elements (eV/atom) = -0.16
- space group = No. 12
- crystal system = monoclinic

abc: 6.7855 7.5308 7.5308
angles: 83.84 75.60 75.60
Last column: nearest neighbours and their distance in Å.
Atoms (fractional coordinates):
Pr: 0.5000 0.8192 0.1808  2 Pd 2.93
Pr: 0.5000 0.1808 0.8192  2 Pd 2.93
Nd: 0.8023 0.8657 0.4824  1 Pd 3.08
Nd: 0.1977 0.5176 0.1343  1 Pd 3.08
Nd: 0.1977 0.1343 0.5176  1 Pd 3.08
Nd: 0.8023 0.4824 0.8657  1 Pd 3.08
Nd: 0.0000 0.0000 0.0000  2 Pd 3.05
Nd: 0.7404 0.3842 0.3842  1 Pd 2.84
Nd: 0.2596 0.6158 0.6158  1 Pd 2.84
Pd: 0.4426 0.8097 0.8097  4 Nd 2.84-3.08, 2 Pr 2.93
Pd: 0.5574 0.1903 0.1903  4 Nd 2.84-3.08, 2 Pr 2.93

---

8.
The following is a DFT calculation (PBE-GGA) of an optimized crystal structure of Pr2HoTm6Sc3.

- energy of formation from the pure elements (eV/atom) = 0.05
- space group = No. 12
- crystal system = monoclinic

abc: 6.0384 6.0384 11.4463
angles: 95.04 95.04 119.99
Last column: nearest neighbours and their distance in Å.
Atoms (fractional coordinates):
Pr: 0.3332 0.6668 0.0000  3 Ho 3.49, 3 Pr 3.49, 6 Tm 3.57
Pr: 0.6668 0.3332 0.0000  3 Ho 3.49, 3 Pr 3.49, 6 Tm 3.57
Ho: 0.0000 0.0000 0.0000  6 Pr 3.49, 6 Tm 3.57
Tm: 0.9127 0.5800 0.7384  3 Sc 3.36, 6 Tm 3.48-3.49, 1 Ho 3.57, 2 Pr 3.57
Tm: 0.7549 0.7549 0.2616  3 Sc 3.35-3.36, 6 Tm 3.48-3.49, 1 Ho 3.57, 2 Pr 3.57
Tm: 0.0873 0.4200 0.2616  3 Sc 3.36, 6 Tm 3.48-3.49, 1 Ho 3.57, 2 Pr 3.57
Tm: 0.5800 0.9127 0.7384  3 Sc 3.36, 6 Tm 3.48-3.49, 1 Ho 3.57, 2 Pr 3.57
Tm: 0.2451 0.2451 0.7384  3 Sc 3.35-3.36, 6 Tm 3.48-3.49, 1 Ho 3.57, 2 Pr 3.57
Tm: 0.4200 0.0873 0.2616  3 Sc 3.36, 6 Tm 3.48-3.49, 1 Ho 3.57, 2 Pr 3.57
Sc: 0.1664 0.8336 0.5000  6 Tm 3.35-3.36, 6 Sc 3.48-3.49
Sc: 0.8336 0.1664 0.5000  6 Tm 3.35-3.36, 6 Sc 3.48-3.49
Sc: 0.5000 0.5000 0.5000  6 Tm 3.36, 6 Sc 3.49

---

9.
The following is a DFT calculation (PBE-GGA) of an optimized crystal structure of K2TeRh.

- energy relative to the elements, uncorrected (eV/atom) = -0.19
- space group = No. 10
- crystal system = monoclinic

abc: 5.1107 7.4027 8.1144
angles: 37.07 90.00 90.00
Last column: nearest neighbours and their distance in Å.
Atoms (fractional coordinates):
K: 0.0000 0.1858 0.0702  2 Rh 3.16
K: 0.0000 0.3142 0.4298  2 Rh 3.16
Rh: 0.5000 0.2500 0.2500  2 Te 2.49
Te: 0.5000 0.7500 0.7500  2 Rh 2.49

---

10.
The following is a DFT calculation (PBE-GGA) of an optimized crystal structure of Er4Co2Pb.

- energy of formation from the pure elements (eV/atom) = -0.22
- space group = No. 1
- crystal system = triclinic

abc: 6.9255 6.7932 8.3122
angles: 107.87 108.40 104.05
Last column: nearest neighbours and their distance in Å.
Atoms (fractional coordinates):
Er: 0.9720 0.2005 0.3622  2 Co 2.62-2.76
Er: 0.3311 0.4687 0.1549  3 Co 2.66-2.75
Er: 0.8014 0.6062 0.5474  2 Co 2.65-2.74
Er: 0.7911 0.1694 0.7446  1 Co 2.52
Er: 0.4259 0.0634 0.3453  3 Co 2.66-2.73
Er: 0.2957 0.1713 0.7562  1 Co 2.52
Er: 0.5091 0.8104 0.9535  2 Co 2.65-2.74
Er: 0.8604 0.5894 0.1403  2 Co 2.62-2.74
Co: 0.5057 0.4256 0.6527  3 Er 2.52-2.73
Co: 0.6951 0.8439 0.3431  5 Er 2.62-2.74
Co: 0.6026 0.2508 0.1572  5 Er 2.62-2.76
Co: 0.1088 0.5221 0.8424  3 Er 2.52-2.75
Pb: 0.3144 0.7044 0.5298  1 Co 2.82, 2 Er 3.09-3.12
Pb: 0.0366 0.9238 0.9703  1 Co 2.84, 2 Er 3.09-3.11

---

11.
The following is a DFT calculation (PBE-GGA) of an optimized crystal structure of Lu3Pb.

- energy of formation from the pure elements (eV/atom) = -0.21
- space group = No. 44
- crystal system = orthorhombic

abc: 3.4997 5.8555 6.4424
angles: 117.03 105.76 90.00
Last column: nearest neighbours and their distance in Å.
Atoms (fractional coordinates):
Pb: 0.0000 0.0061 0.0000  10 Lu 3.27-3.54, 2 Pb 3.50
Lu: 0.2637 0.6036 0.5273  3 Pb 3.27-3.48, 9 Lu 3.33-3.50
Lu: 0.5000 0.4807 0.0000  4 Pb 3.28-3.54, 8 Lu 3.33-3.50
Lu: 0.7363 0.0763 0.4727  3 Pb 3.27-3.48, 9 Lu 3.33-3.50

---

12.
The following is a DFT calculation (PBE-GGA) of an optimized crystal structure of Li2LaAsN.

- energy relative to the elements, uncorrected (eV/atom) = -0.75
- space group = No. 123
- distance to the lowest polymorph of the same formula (eV/f.u.) = 0.093
- crystal system = tetragonal

abc: 4.3619 4.7950 4.3619
angles: 90.00 90.00 90.00
Last column: nearest neighbours and their distance in Å.
Atoms (fractional coordinates):
As: 0.5000 0.5000 0.5000  4 La 3.08, 8 Li 3.24
N: 0.0000 0.0000 0.0000  4 Li 2.18, 2 La 2.40
Li: 0.0000 0.0000 0.5000  2 N 2.18
Li: 0.5000 0.0000 0.0000  2 N 2.18
La: 0.0000 0.5000 0.0000  2 N 2.40